ScPaRuPt (PBE, relaxed); VASP energy = -0.3115 hartree per atom; size of the total moment = 0.002 μB/cell
1.0
4.7859 0.0000 0.0000
2.3930 4.1447 0.0000
2.3930 1.3816 3.9077
Sc Pa Pt Ru
1 1 1 1
Cartesian
4.7859 2.7631 1.9538
0.0000 0.0000 0.0000
2.3930 1.3816 0.9769
7.1789 4.1447 2.9308


PaSi2Ru2Pt (PBE, relaxed); VASP energy = -0.2731 hartree per atom; size of the total moment = 0.000 μB/cell
1.0
4.5343 0.0000 0.0000
0.0000 4.5343 0.0000
0.0000 0.0000 5.3960
Ru Pt Pa Si
2 1 1 2
Cartesian
2.2671 2.2671 3.9945
2.2671 2.2671 1.4015
0.0000 0.0000 0.0000
0.0000 0.0000 2.6980
2.2671 0.0000 0.0000
0.0000 2.2671 0.0000


Pa2Si4RuPt3 (PBE, relaxed); VASP energy = -0.2853 hartree per atom; size of the total moment = 0.153 μB/cell
1.0
4.1661 0.0000 0.0000
0.0000 4.1661 0.0000
0.0000 0.0000 9.8695
Si Pt Ru Pa
4 3 1 2
Cartesian
0.0000 2.0831 3.6144
2.0831 2.0831 0.0000
0.0000 0.0000 0.0000
2.0831 0.0000 6.2550
0.0000 2.0831 1.2227
2.0831 0.0000 8.6468
0.0000 0.0000 4.9347
2.0831 2.0831 4.9347
0.0000 2.0831 7.3862
2.0831 0.0000 2.4833


PaSnRuPt (PBE, relaxed); VASP energy = -0.2821 hartree per atom; size of the total moment = 0.000 μB/cell
1.0
4.8166 0.0000 0.0000
2.4083 4.1713 0.0000
2.4083 1.3904 3.9327
Ru Pa Sn Pt
1 1 1 1
Cartesian
0.0000 0.0000 0.0000
2.4083 1.3904 0.9832
7.2248 4.1713 2.9495
4.8166 2.7808 1.9664


TbPaRuPt (PBE, relaxed); VASP energy = -0.2934 hartree per atom; size of the total moment = 0.002 μB/cell
1.0
4.9048 0.0000 0.0000
2.4524 4.2477 0.0000
2.4524 1.4159 4.0047
Ru Pt Pa Tb
1 1 1 1
Cartesian
7.3572 4.2477 3.0036
2.4524 1.4159 1.0012
0.0000 0.0000 0.0000
4.9048 2.8318 2.0024


UPaRuPt (PBE, relaxed); VASP energy = -0.3518 hartree per atom; size of the total moment = 1.172 μB/cell
1.0
-3.1199 -3.5204 -0.0008
1.3700 -4.3566 -1.1268
0.2111 -3.3305 3.3151
Ru Pt U Pa
1 1 1 1
Cartesian
0.0000 0.0000 0.0000
-0.3847 -2.8019 0.5469
-1.1541 -8.4056 1.6406
-0.7694 -5.6038 1.0937


PaZnRuPt (PBE, relaxed); relative energy among the computed polymorphs = 6.8 kJ per mole of atoms; size of the total moment = 0.000 μB/cell
1.0
4.6785 0.0000 0.0000
2.3393 4.0517 0.0000
2.3393 1.3506 3.8200
Pa Ru Zn Pt
1 1 1 1
Cartesian
2.3393 1.3506 0.9550
4.6785 2.7012 1.9100
7.0178 4.0517 2.8650
0.0000 0.0000 0.0000


PaZnRuPt (PBE, relaxed); relative energy among the computed polymorphs = 0.0 kJ per mole of atoms; size of the total moment = 0.000 μB/cell
1.0
-3.3751 -0.7307 2.6210
-0.8405 -3.6921 -2.1117
4.3682 0.3306 2.1318
Zn Pa Ru Pt
1 1 1 1
Cartesian
0.7100 -2.7865 0.1373
-0.5573 -1.3055 2.5039
0.0000 -0.0001 0.0000
-2.1078 -2.2116 0.2546


PaPtS4 (PBE, relaxed); relative energy among the computed polymorphs = 8.5 kJ per mole of atoms; size of the total moment = 0.000 μB/cell
1.0
6.3268 0.0000 -0.4464
0.0000 6.2523 0.0000
-0.5433 0.0000 6.3927
Pa S Pt
2 8 2
Cartesian
3.1634 3.1262 -0.2232
0.0000 0.0000 0.0000
1.4872 1.7458 1.8743
3.5531 1.0669 4.9180
4.2962 4.5065 4.0719
2.2304 5.1854 1.0283
4.6506 1.3804 1.6511
1.1328 4.8719 4.2952
0.3897 2.0593 5.1412
5.3938 4.1930 0.8051
2.8917 0.0000 2.9731
-0.2717 3.1262 3.1963


PaPtS4 (PBE, relaxed); relative energy among the computed polymorphs = 0.0 kJ per mole of atoms; size of the total moment = 0.000 μB/cell
1.0
-1.0330 3.3355 1.6502
-5.6365 -1.6396 -0.2125
-2.5059 -1.8722 6.7445
S Pt Pa
4 1 1
Cartesian
-7.9162 -0.9327 5.9792
-4.7657 -1.9001 5.3880
-1.2592 0.7565 2.2029
-4.4097 1.7239 2.7941
-3.3347 0.8480 0.7188
0.0000 0.0000 0.0000


PaSbPtS (PBE, relaxed); VASP energy = -0.2548 hartree per atom; size of the total moment = 0.000 μB/cell
1.0
4.4113 0.0000 0.0000
0.0000 4.4113 0.0000
0.0000 0.0000 8.5573
Sb Pa S Pt
2 2 2 2
Cartesian
2.2057 0.0000 1.6038
0.0000 2.2057 6.9535
2.2057 0.0000 6.0126
0.0000 2.2057 2.5447
0.0000 0.0000 4.2787
2.2057 2.2057 4.2787
2.2057 2.2057 0.0000
0.0000 0.0000 0.0000


Pa4PtSe2S (PBE, relaxed); VASP energy = -0.2972 hartree per atom; size of the total moment = 0.002 μB/cell
1.0
3.8596 0.0000 0.0000
0.0000 7.2132 -0.2503
0.0000 2.4373 6.6585
S Pa Pt Se
1 4 1 2
Cartesian
0.0000 4.8252 3.2041
1.9298 5.9473 1.5906
1.9298 3.7031 4.8176
0.0001 7.0951 4.8032
3.8596 2.5553 1.6050
1.9298 3.6066 -0.1251
0.0000 2.4373 6.6585
1.9298 1.2186 3.3292


Pa4PtSeS2 (PBE, relaxed); VASP energy = -0.3030 hartree per atom; size of the total moment = 0.002 μB/cell
1.0
-2.8088 2.4033 0.8795
-0.2427 -2.6678 6.5151
4.4658 3.7268 4.0786
Se Pa S Pt
1 4 2 1
Cartesian
2.1116 0.5295 5.2968
-0.5121 0.0459 6.4479
-1.7812 2.6687 3.4362
3.1954 0.7936 8.0370
1.9263 3.4163 5.0253
0.8285 3.0650 2.4791
4.4658 3.7268 4.0786
-1.5258 -0.1323 3.6973


Sr2PaPtS5 (PBE, relaxed); VASP energy = -0.2185 hartree per atom; size of the total moment = 0.000 μB/cell
1.0
-1.5972 -3.1890 1.6933
7.6982 -3.1076 -3.1938
5.6847 2.9200 10.8610
S Sr Pt Pa
10 4 2 2
Cartesian
0.7005 -0.2806 0.1323
6.2083 -1.7159 2.6245
2.8894 -2.9851 1.7066
4.2933 -1.5493 5.7346
8.5721 -4.3868 4.4269
4.8479 -3.1856 -1.4265
11.2144 -2.4816 5.9044
6.9437 -0.9588 9.3467
7.9329 -0.8864 5.8133
0.6808 -0.8387 3.6654
5.5467 0.9151 6.9553
5.5690 -4.6359 1.1253
9.3572 -2.7860 8.1822
3.4896 -0.0456 3.2058
8.5370 -2.8942 2.6021
5.2991 0.5708 10.6761
6.4050 -2.9860 5.0209
2.7403 -1.7468 -0.7049